# Ac2PuFeO8, relaxed, DFT PBE with a Hubbard U
data_Ac2PuFeO8
_symmetry_space_group_name_H-M 'P -1'
_symmetry_Int_Tables_number 2
_symmetry_space_group_name_Hall '-P 1'
_cell_length_a 4.632
_cell_length_b 5.413
_cell_length_c 7.760
_cell_angle_alpha 79.57
_cell_angle_beta 84.46
_cell_angle_gamma 80.03
loop_
_atom_site_label
_atom_site_type_symbol
_atom_site_fract_x
_atom_site_fract_y
_atom_site_fract_z
_atom_site_occupancy
Ac1 Ac 0.053 0.071 0.231 1
Pu1 Pu 0.500 0.500 0.500 1
Fe1 Fe 0.500 0.500 0.000 1
O1 O 0.113 0.713 0.504 1
O2 O 0.190 0.753 0.039 1
O3 O 0.390 0.216 0.658 1
O4 O 0.474 0.341 0.244 1
# Crystal system: triclinic
# Total energy in eV/atom: -8.185